No. 1
LiZr3H at its PBEsol-relaxed geometry, computed with meta-GGA SCAN.

- Fermi-level density of states (states/eV per atom) = 0.896
- space-group type = Pm-3m
- M_tot (μB per formula unit) = 0.0
- energy (eV per cell) = -97.93

a = 4.388 Å, b = 4.388 Å, c = 4.388 Å
α = 90.00°, β = 90.00°, γ = 90.00°
Fractional coordinates of all 5 atoms:
Zr1 0.500 0.000 0.000
Zr2 0.000 0.500 0.000
Zr3 0.000 0.000 0.500
Li1 0.500 0.500 0.500
H1 0.000 0.000 0.000

No. 2
LuP2H4NO7 at its PBEsol-relaxed geometry, computed with meta-GGA SCAN.

- Fermi-level density of states (states/eV per atom) = 0.000
- space-group type = P2_1/c
- M_tot (μB per formula unit) = 0.0
- energy (eV per cell) = -701.66

a = 7.678 Å, b = 8.621 Å, c = 10.876 Å
α = 90.00°, β = 90.00°, γ = 107.90°
Fractional coordinates of all 60 atoms:
H1 0.891 0.543 0.791
H2 0.891 0.043 0.709
H3 0.109 0.957 0.291
H4 0.161 0.079 0.415
H5 0.095 0.648 0.214
H6 0.309 0.125 0.294
H7 0.691 0.875 0.706
H8 0.905 0.352 0.786
H9 0.839 0.421 0.915
H10 0.095 0.148 0.286
H11 0.309 0.625 0.206
H12 0.839 0.921 0.585
H13 0.905 0.852 0.714
H14 0.109 0.457 0.209
H15 0.691 0.375 0.794
H16 0.161 0.579 0.085
O1 0.861 0.999 0.100
O2 0.932 0.753 0.270
O3 0.611 0.738 0.935
O4 0.686 0.479 0.116
O5 0.457 0.753 0.732
O6 0.321 0.808 0.933
O7 0.543 0.747 0.232
O8 0.321 0.308 0.567
O9 0.006 0.777 0.497
O10 0.457 0.253 0.768
O11 0.139 0.001 0.900
O12 0.389 0.262 0.065
O13 0.611 0.238 0.565
O14 0.861 0.499 0.400
O15 0.679 0.192 0.067
O16 0.994 0.223 0.503
O17 0.314 0.521 0.884
O18 0.686 0.979 0.384
O19 0.389 0.762 0.435
O20 0.068 0.247 0.730
O21 0.994 0.723 0.997
O22 0.543 0.247 0.268
O23 0.932 0.253 0.230
O24 0.314 0.021 0.616
O25 0.679 0.692 0.433
O26 0.139 0.501 0.600
O27 0.068 0.747 0.770
O28 0.006 0.277 0.003
Lu1 0.761 0.241 0.399
Lu2 0.761 0.741 0.101
Lu3 0.239 0.759 0.601
Lu4 0.239 0.259 0.899
P1 0.569 0.803 0.367
P2 0.122 0.823 0.899
P3 0.431 0.197 0.633
P4 0.122 0.323 0.601
P5 0.878 0.177 0.101
P6 0.431 0.697 0.867
P7 0.569 0.303 0.133
P8 0.878 0.677 0.399
N1 0.171 0.577 0.180
N2 0.171 0.077 0.320
N3 0.829 0.423 0.820
N4 0.829 0.923 0.680

No. 3
LuH3O3 at its PBEsol-relaxed geometry, computed with meta-GGA SCAN.

- offset from the most stable computed form (eV/atom) = 0.000
- Fermi-level density of states (states/eV per atom) = 0.000
- space-group type = R-3
- M_tot (μB per formula unit) = 0.0
- energy (eV per cell) = -397.84

a = 6.894 Å, b = 6.956 Å, c = 6.956 Å
α = 70.35°, β = 70.71°, γ = 109.29°
Fractional coordinates of all 28 atoms:
O1 0.518 0.679 0.163
O2 0.320 0.837 0.842
O3 0.668 0.835 0.498
O4 0.482 0.321 0.837
O5 0.834 0.667 0.835
O6 0.332 0.165 0.502
O7 0.839 0.158 0.679
O8 0.167 0.498 0.667
O9 0.166 0.333 0.165
O10 0.161 0.842 0.321
O11 0.833 0.502 0.333
O12 0.680 0.163 0.158
Lu1 0.000 0.500 0.000
Lu2 0.000 0.000 0.500
Lu3 0.500 0.000 0.000
Lu4 0.500 0.500 0.500
H1 0.035 0.716 0.318
H2 0.354 0.318 0.966
H3 0.965 0.284 0.682
H4 0.319 0.966 0.716
H5 0.711 0.543 0.829
H6 0.646 0.682 0.034
H7 0.168 0.628 0.543
H8 0.681 0.034 0.284
H9 0.289 0.457 0.171
H10 0.540 0.829 0.628
H11 0.460 0.171 0.372
H12 0.832 0.372 0.457

No. 4
LuH3O3 at its PBEsol-relaxed geometry, computed with meta-GGA SCAN.

- offset from the most stable computed form (eV/atom) = 0.014
- Fermi-level density of states (states/eV per atom) = 0.000
- space-group type = P6_3/m
- M_tot (μB per formula unit) = 0.0
- energy (eV per cell) = -198.72

a = 3.370 Å, b = 6.122 Å, c = 6.122 Å
α = 120.00°, β = 90.00°, γ = 90.00°
Fractional coordinates of all 14 atoms:
O1 0.750 0.311 0.396
O2 0.750 0.604 0.914
O3 0.250 0.396 0.086
O4 0.250 0.914 0.311
O5 0.750 0.086 0.689
O6 0.250 0.689 0.604
H1 0.250 0.849 0.128
H2 0.750 0.151 0.872
H3 0.750 0.721 0.849
H4 0.250 0.872 0.721
H5 0.750 0.128 0.279
H6 0.250 0.279 0.151
Lu1 0.250 0.333 0.667
Lu2 0.750 0.667 0.333

No. 5
LuHO2 at its PBEsol-relaxed geometry, computed with meta-GGA SCAN.

- Fermi-level density of states (states/eV per atom) = 0.000
- space-group type = P2_1/c
- M_tot (μB per formula unit) = 0.0
- energy (eV per cell) = -332.10

a = 5.292 Å, b = 5.753 Å, c = 5.746 Å
α = 108.53°, β = 90.00°, γ = 90.00°
Fractional coordinates of all 16 atoms:
Lu1 0.011 0.237 0.248
Lu2 0.511 0.763 0.252
Lu3 0.989 0.763 0.752
Lu4 0.489 0.237 0.748
O1 0.133 0.633 0.357
O2 0.863 0.866 0.128
O3 0.137 0.134 0.872
O4 0.367 0.633 0.857
O5 0.637 0.866 0.628
O6 0.633 0.367 0.143
O7 0.363 0.134 0.372
O8 0.867 0.367 0.643
H1 0.522 0.275 0.236
H2 0.978 0.275 0.736
H3 0.022 0.725 0.264
H4 0.478 0.725 0.764

No. 6
LuHO2 at its PBEsol-relaxed geometry, computed with meta-GGA SCAN.

- Fermi-level density of states (states/eV per atom) = 0.000
- space-group type = Pmn2_1
- M_tot (μB per formula unit) = 0.0
- energy (eV per cell) = -166.07

a = 3.352 Å, b = 4.690 Å, c = 5.278 Å
α = 90.00°, β = 90.00°, γ = 90.00°
Fractional coordinates of all 8 atoms:
O1 0.000 0.520 0.622
O2 0.000 0.983 0.352
O3 0.500 0.480 0.122
O4 0.500 0.017 0.852
Lu1 0.000 0.726 0.984
Lu2 0.500 0.274 0.484
H1 0.500 0.198 0.965
H2 0.000 0.802 0.465

No. 7
LuHO2 at its PBEsol-relaxed geometry, computed with meta-GGA SCAN.

- Fermi-level density of states (states/eV per atom) = 0.000
- space-group type = P2_1
- M_tot (μB per formula unit) = 0.0
- energy (eV per cell) = -166.27

a = 3.488 Å, b = 4.173 Å, c = 5.742 Å
α = 109.07°, β = 90.00°, γ = 90.00°
Fractional coordinates of all 8 atoms:
Lu1 0.733 0.668 0.811
Lu2 0.233 0.332 0.189
H1 0.661 0.017 0.431
H2 0.161 0.983 0.569
O1 0.244 0.754 0.559
O2 0.736 0.233 0.948
O3 0.236 0.767 0.052
O4 0.744 0.246 0.441

No. 8
LuHSe at its PBEsol-relaxed geometry, computed with meta-GGA SCAN.

- Fermi-level density of states (states/eV per atom) = 0.000
- space-group type = P-6m2
- M_tot (μB per formula unit) = 0.0
- energy (eV per cell) = -83.56

a = 3.692 Å, b = 3.692 Å, c = 3.765 Å
α = 90.00°, β = 90.00°, γ = 120.00°
Fractional coordinates of all 3 atoms:
H1 0.333 0.667 0.000
Se1 0.667 0.333 0.500
Lu1 0.000 0.000 0.000